Here is ZrCd2Fe after structural relaxation from the Alexandria database. Energies are from PBE-GGA.

abc: 3.247 3.247 7.282
angles: 90.00 90.00 90.00
Space group P4mm (No. 99)
Unique sites:
Zr1 0.000 0.000 0.000 [1 per cell]
Cd1 0.000 0.000 0.582 [1 per cell]
Cd2 0.500 0.500 0.304 [1 per cell]
Fe1 0.500 0.500 0.819 [1 per cell]

## Properties
**Uncorrected energy**: -4.675 eV per atom
**Total magnetic moment**: 1.1 Bohr magnetons per cell
**Energy of formation from the pure elements**: 36 meV per atom

Here is ZrCdFe after structural relaxation from the Alexandria database. Energies are from PBE-GGA.

abc: 3.240 3.240 10.301
angles: 90.00 90.00 90.00
Space group I4mm (No. 107)
Unique sites:
Zr1 0.000 0.000 0.000 [2 per cell]
Cd1 0.000 0.000 0.710 [2 per cell]
Fe1 0.000 0.000 0.376 [2 per cell]

## Properties
**Uncorrected energy**: -5.918 eV per atom
**Energy relative to the lowest polymorph listed for this composition**: 108 meV/atom
**Total magnetic moment**: 0.4 Bohr magnetons per cell
**Energy of formation from the pure elements**: 57 meV per atom

Here is ZrCd2Fe2 after structural relaxation from the Alexandria database. Energies are from PBE-GGA.

abc: 3.267 3.267 17.688
angles: 90.00 90.00 90.00
Space group I4/mmm (No. 139)
Unique sites:
Zr1 0.000 0.000 0.000 [2 per cell]
Cd1 0.000 0.000 0.380 [4 per cell]
Fe1 0.000 0.500 0.250 [4 per cell]

## Properties
**Uncorrected energy**: -5.112 eV per atom
**Energy relative to the lowest polymorph listed for this composition**: 0 meV/atom
**Total magnetic moment**: 8.9 Bohr magnetons per cell
**Energy of formation from the pure elements**: 349 meV per atom

Here is ZrCd2Fe after structural relaxation from the Alexandria database. Energies are from PBE-GGA.

abc: 6.639 6.639 6.639
angles: 90.00 90.00 90.00
Space group Fm-3m (No. 225)
Unique sites:
Zr1 0.000 0.000 0.000 [4 per cell]
Cd1 0.250 0.250 0.250 [8 per cell]
Fe1 0.000 0.000 0.500 [4 per cell]

## Properties
**Uncorrected energy**: -4.341 eV per atom
**Total magnetic moment**: 0.0 Bohr magnetons per cell
**Energy of formation from the pure elements**: 369 meV per atom

Here is Zr2CdFe2 after structural relaxation from the Alexandria database. Energies are from PBE-GGA.

abc: 3.295 3.295 17.428
angles: 90.00 90.00 90.00
Space group I4/mmm (No. 139)
Unique sites:
Zr1 0.000 0.000 0.125 [4 per cell]
Cd1 0.000 0.000 0.500 [2 per cell]
Fe1 0.000 0.500 0.250 [4 per cell]

## Properties
**Uncorrected energy**: -6.864 eV per atom
**Total magnetic moment**: 6.9 Bohr magnetons per cell
**Energy of formation from the pure elements**: 123 meV per atom

Here is ZrCd2Fe after structural relaxation from the Alexandria database. Energies are from PBE-GGA.

abc: 4.047 4.047 4.662
angles: 90.00 90.00 90.00
Space group P4/mmm (No. 123)
Unique sites:
Zr1 0.000 0.000 0.000 [1 per cell]
Cd1 0.000 0.500 0.500 [2 per cell]
Fe1 0.500 0.500 0.000 [1 per cell]

## Properties
**Uncorrected energy**: -4.576 eV per atom
**Total magnetic moment**: 1.7 Bohr magnetons per cell
**Energy of formation from the pure elements**: 134 meV per atom

Here is ZrCd2Fe after structural relaxation from the Alexandria database. Energies are from PBE-GGA.

abc: 4.733 4.733 6.743
angles: 90.00 90.00 90.00
Space group I-4m2 (No. 119)
Unique sites:
Zr1 0.000 0.000 0.000 [2 per cell]
Cd1 0.000 0.000 0.500 [2 per cell]
Cd2 0.000 0.500 0.750 [2 per cell]
Fe1 0.000 0.500 0.250 [2 per cell]

## Properties
**Uncorrected energy**: -4.556 eV per atom
**Total magnetic moment**: 3.9 Bohr magnetons per cell
**Energy of formation from the pure elements**: 155 meV per atom

Here is ZrCd4Fe after structural relaxation from the Alexandria database. Energies are from PBE-GGA.

abc: 7.890 7.890 7.890
angles: 90.00 90.00 90.00
Space group F-43m (No. 216)
Unique sites:
Zr1 0.000 0.000 0.000 [4 per cell]
Cd1 0.125 0.125 0.625 [16 per cell]
Fe1 0.250 0.250 0.250 [4 per cell]

## Properties
**Uncorrected energy**: -3.126 eV per atom
**Total magnetic moment**: 5.4 Bohr magnetons per cell
**Energy of formation from the pure elements**: 319 meV per atom